# 1
Computed, not measured: a relaxed structure of InTcNF2 at the GGA-PBE level of DFT.

Summary:
Crystal system   tetragonal
E above lowest polymorph   5.666 eV per formula unit
Total moment   2.8 μB/cell
Formation energy (no corrections)   351 meV per atom
Symmetry   No. 123

Cell lengths 3.9804, 6.0648, 3.9804 Å; angles 90.00, 90.00, 90.00 degrees
Fractional coordinates of all 5 atoms:
N  0.5000  0.5000  0.5000
Tc  0.0000  0.5000  0.0000
In  0.0000  0.0000  0.0000
F  0.5000  0.0000  0.0000
F  0.0000  0.0000  0.5000



# 2
Computed, not measured: a relaxed structure of Ba2AcDyO4 at the GGA-PBE level of DFT.

Summary:
Crystal system   monoclinic
Total moment   0.0 μB/cell
Formation energy (no corrections)   -2656 meV per atom
Symmetry   No. 10

Cell lengths 3.7023, 6.4793, 6.7150 Å; angles 108.36, 90.00, 90.00 degrees
Fractional coordinates of all 8 atoms:
O  0.0000  0.2412  0.8046
O  0.0000  0.7588  0.1954
O  0.5000  0.7922  0.8124
O  0.5000  0.2078  0.1876
Ac  0.5000  0.5000  0.0000
Dy  0.0000  0.0000  0.0000
Ba  0.0000  0.5000  0.5000
Ba  0.5000  0.0000  0.5000



# 3
Computed, not measured: a relaxed structure of Cr2OsRh6 at the GGA-PBE level of DFT.

Summary:
Crystal system   monoclinic
Calculated total energy   -74.1 eV per formula unit
Total moment   0.0 μB/cell
Symmetry   No. 12

Cell lengths 4.2066, 5.0874, 7.8265 Å; angles 121.66, 90.00, 114.42 degrees
Fractional coordinates of all 9 atoms:
Cr  0.6078  0.2156  0.7763
Cr  0.3922  0.7844  0.2237
Rh  0.6739  0.3477  0.1626
Rh  0.9407  0.8814  0.1157
Rh  0.7135  0.4269  0.5611
Rh  0.3261  0.6523  0.8374
Rh  0.0593  0.1186  0.8843
Rh  0.2865  0.5731  0.4389
Os  0.0000  0.0000  0.5000



# 4
Computed, not measured: a relaxed structure of V2Co2Rh at the GGA-PBE level of DFT.

Summary:
Crystal system   tetragonal
E above lowest polymorph   1.041 eV per formula unit
Total moment   0.0 μB/cell
Symmetry   No. 127

Cell lengths 6.8313, 6.8313, 2.7060 Å; angles 90.00, 90.00, 90.00 degrees
Fractional coordinates of all 10 atoms:
Co  0.6372  0.8628  0.5000
Co  0.8628  0.3628  0.5000
Co  0.1372  0.6372  0.5000
Co  0.3628  0.1372  0.5000
Rh  0.5000  0.5000  0.0000
Rh  0.0000  0.0000  0.0000
V  0.8434  0.6566  0.0000
V  0.6566  0.1566  0.0000
V  0.3434  0.8434  0.0000
V  0.1566  0.3434  0.0000



# 5
Computed, not measured: a relaxed structure of YIrSe2 at the GGA-PBE level of DFT.

Summary:
Crystal system   cubic
E above lowest polymorph   3.130 eV per formula unit
Total moment   0.0 μB/cell
Formation energy (no corrections)   -142 meV per atom
Symmetry   No. 216

Cell lengths 4.8480, 4.8480, 4.8480 Å; angles 60.00, 60.00, 60.00 degrees
Fractional coordinates of all 4 atoms:
Se  0.2500  0.2500  0.2500
Se  0.0000  0.0000  0.0000
Ir  0.5000  0.5000  0.5000
Y  0.7500  0.7500  0.7500



# 6
Computed, not measured: a relaxed structure of YScMn at the GGA-PBE level of DFT.

Summary:
Crystal system   hexagonal
E above lowest polymorph   0.305 eV per formula unit
Total moment   2.3 μB/cell
Symmetry   No. 187

Cell lengths 4.8681, 4.8681, 3.3724 Å; angles 90.00, 90.00, 120.00 degrees
Fractional coordinates of all 3 atoms:
Sc  0.6667  0.3333  0.1664
Y  0.3333  0.6667  0.6667
Mn  0.0000  0.0000  0.1669



# 7
Computed, not measured: a relaxed structure of NaBe2VCo at the GGA-PBE level of DFT.

Summary:
Crystal system   tetragonal
Calculated total energy   -19.3 eV per formula unit
Total moment   0.9 μB/cell
Symmetry   No. 123

Cell lengths 4.5723, 4.0727, 4.5723 Å; angles 90.00, 90.00, 90.00 degrees
Fractional coordinates of all 5 atoms:
Be  0.5000  0.0000  0.0000
Be  0.0000  0.0000  0.5000
V  0.0000  0.0000  0.0000
Na  0.5000  0.5000  0.5000
Co  0.0000  0.5000  0.0000



# 8
Computed, not measured: a relaxed structure of Tl2CuRh at the GGA-PBE level of DFT.

Summary:
Crystal system   monoclinic
E above lowest polymorph   0.412 eV per formula unit
Total moment   0.0 μB/cell
Symmetry   No. 10

Cell lengths 3.5829, 3.3249, 7.1109 Å; angles 62.41, 90.00, 90.00 degrees
Fractional coordinates of all 4 atoms:
Tl  0.0000  0.0000  0.0008
Tl  0.0000  0.5000  0.4992
Cu  0.5000  0.2500  0.2500
Rh  0.5000  0.7500  0.7500



Q: What is the total moment in the first record?
A: 2.8 μB/cell



Q: Among the records above, which one has the highest total moment?
A: InTcNF2